[1]
This record from Alexandria describes an optimized crystal structure of LaScW2. The functional is GGA-PBE.

a = 2.881 Å, b = 4.741 Å, c = 6.404 Å
α = 90.00°, β = 94.17°, γ = 90.00°
Space group P2/m (No. 10)
One atom of each set of equivalent atoms:
La (0.000, 0.000, 0.000)
Sc (0.000, 0.000, 0.500)
W (0.436, 0.500, 0.690)

Total moment (Bohr magnetons per cell): 0.000
Fermi-level density of states (states/eV per cell): 4.00
Energy of formation (meV per atom): 551
Calculated total energy (eV per atom): -8.7399

***

[2]
This record from Alexandria describes an optimized crystal structure of LaScW. The functional is GGA-PBE.

a = 2.999 Å, b = 4.788 Å, c = 9.460 Å
α = 90.00°, β = 90.00°, γ = 90.00°
Space group Imm2 (No. 44)
One atom of each set of equivalent atoms:
La (0.000, 0.000, 0.000)
Sc (0.000, 0.000, 0.687)
W (0.000, 0.000, 0.324)

Total moment (Bohr magnetons per cell): 0.000
Fermi-level density of states (states/eV per cell): 7.00
Energy of formation (meV per atom): 567
Calculated total energy (eV per atom): -7.5035